# 1
VASP calculation (GGA-PBE) on an optimized crystal structure of YTa2Te.

```
YTa2Te
1.0
-2.2580 2.2580 4.2088
2.2580 -2.2580 4.2088
2.2580 2.2580 -4.2088
Y Ta Te
1 2 1
direct
0.0000 0.0000 0.0000
0.2500 0.7500 0.5000
0.5000 0.5000 0.0000
0.7500 0.2500 0.5000
```

Computed properties:
N(E_F) in states/eV/atom: 0.897
ΔE_f (raw) in eV/atom: 0.241
Calculated total energy in eV per atom: -8.09

***

# 2
VASP calculation (GGA-PBE) on an optimized crystal structure of YTaTe2.

```
YTaTe2
1.0
4.2511 -1.8761 0.0000
4.2511 1.8761 0.0000
-1.6254 0.0000 6.2919
Y Ta Te
1 1 2
direct
0.0000 0.0000 0.0000
0.5000 0.5000 0.5000
0.2406 0.2406 0.7152
0.7594 0.7594 0.2848
```

Computed properties:
N(E_F) in states/eV/atom: 0.728
ΔE_f (raw) in eV/atom: -0.365
Calculated total energy in eV per atom: -6.52
Offset from the most stable computed form in kJ/mol of formula units: 69

***

- What is the formula in the first record?
  YTa2Te